# 1
A relaxed structure of HgPdNO. Source: OQMD via LeMat-Bulk, functional GGA-PBE.

The structure belongs to space group Pmc2_1 (No. 26); the cell edges are 3.4595, 4.8633 and 6.7601 Å and the angles 90.00°, 90.00° and 90.00°. The asymmetric unit holds Hg at (0.0000, 0.0585, 0.0000), Pd at (0.5000, 0.4843, 0.6636), N at (0.0000, 0.2785, 0.7225) and O at (0.5000, 0.2815, 0.4033).

As for the crystal system: orthorhombic. The energy above the most stable polymorph in this dataset is 0 meV per atom.

***

# 2
A relaxed structure of ErHfAsO. Source: OQMD via LeMat-Bulk, functional GGA-PBE.

The structure belongs to space group P4/nmm (No. 129, origin choice 2); the cell edges are 4.1270, 4.1270 and 8.6703 Å and the angles 90.00°, 90.00° and 90.00°. The asymmetric unit holds Er at (0.2500, 0.2500, 0.1123), Hf at (0.2500, 0.7500, 0.5000), As at (0.2500, 0.2500, 0.6993) and O at (0.2500, 0.7500, 0.0000).

As for the crystal system: tetragonal. The energy above the most stable polymorph in this dataset is 0 meV per atom.

***

# 3
A relaxed structure of Lu4SbPbN2. Source: OQMD via LeMat-Bulk, functional GGA-PBE.

The structure belongs to space group P-6m2 (No. 187); the cell edges are 3.4690, 3.4690 and 14.8077 Å and the angles 90.00°, 90.00° and 120.00°. The asymmetric unit holds Lu at (0.0000, 0.0000, 0.1610), Lu at (0.3333, 0.6667, 0.3306), Sb at (0.3333, 0.6667, 0.0000), Pb at (0.0000, 0.0000, 0.5000) and N at (0.6667, 0.3333, 0.2466).

The calculation puts the total energy at -51.85 eV per formula unit. As for the crystal system: hexagonal.

***

# 4
A relaxed structure of Ho2ErTmCd2. Source: OQMD via LeMat-Bulk, functional GGA-PBE.

The structure belongs to space group Amm2 (No. 38); the cell edges are 5.3295, 3.6353 and 16.8728 Å and the angles 90.00°, 90.00° and 90.00°. The asymmetric unit holds Ho at (0.0000, 0.0000, 0.0000), Ho at (0.5000, 0.0000, 0.4499), Er at (0.5000, 0.0000, 0.1355), Tm at (0.0000, 0.0000, 0.3147), Cd at (0.0000, 0.0000, 0.6584) and Cd at (0.5000, 0.0000, 0.7922).

The value obtained for the formation energy is -1.32 eV/f.u. As for the crystal system: orthorhombic.